VASP calculation (PBE) on an optimized crystal structure of Sr2LiInPd.

Summary:
**Symmetry**: P4/mmm (123)
**Formation energy**: -0.28 eV/atom

```
5
Lattice="-2.765 -3.069 -4.183 4.050 -4.239 0.433 -2.881 -2.380 3.650" Properties=species:S:1:pos:R:3 pbc="T T T"
Sr 2.025 -2.119 0.217
Sr -1.382 -1.534 -2.092
Li -0.797 -4.844 -0.050
Pd 0.000 0.000 0.000
In -1.440 -1.190 1.825
```